# 1
Entry from Alexandria: an optimized crystal structure of BaAcRhI (PBE-GGA).

Properties
Space-group type: R3m, No. 160
E, eV/atom: -4.647
ΔE_f (raw), kJ/mol of formula units: -353
Magnetization, μB per cell: 0.0
Crystal system: trigonal

Unit cell a=4.421 b=4.422 c=9.165 alpha=90.00 beta=103.94 gamma=120.01
Fractional positions:
1 Ba 0.503 0.149 0.668
2 Ac 0.093 0.945 0.053
3 Rh 0.319 0.558 0.892
4 I 0.962 0.379 0.356

# 2
Entry from Alexandria: an optimized crystal structure of Pm2Hg5Pb (PBE-GGA).

Properties
Space-group type: Pbam, No. 55
Calculated formation energy, eV per atom: -0.374
E, eV/atom: -2.214
Magnetization, μB per cell: 0.0
Relative energy among the computed polymorphs, meV per atom: 4
Crystal system: orthorhombic

Unit cell a=4.602 b=6.715 c=13.489 alpha=90.00 beta=90.00 gamma=90.00
Fractional positions:
1 Pm 0.500 0.237 0.622
2 Pm 0.500 0.763 0.378
3 Pm 0.500 0.263 0.122
4 Pm 0.500 0.737 0.878
5 Hg 0.000 0.000 0.000
6 Hg 0.000 0.500 0.500
7 Hg 0.000 0.481 0.748
8 Hg 0.000 0.519 0.252
9 Hg 0.000 0.019 0.248
10 Hg 0.000 0.981 0.752
11 Hg 0.500 0.234 0.870
12 Hg 0.500 0.766 0.130
13 Hg 0.500 0.266 0.370
14 Hg 0.500 0.734 0.630
15 Pb 0.000 0.000 0.500
16 Pb 0.000 0.500 0.000

# 3
Entry from Alexandria: an optimized crystal structure of NaLa3Sm3Se8 (PBE-GGA).

Properties
Space-group type: R-3m, No. 166
E, eV/atom: -5.742
ΔE_f (raw), kJ/mol of formula units: -2701
Magnetization, μB per cell: 0.0
Crystal system: trigonal

Unit cell a=8.432 b=8.432 c=8.465 alpha=119.87 beta=90.00 gamma=120.00
Fractional positions:
1 Na 0.000 0.000 0.500
2 La 0.000 0.000 0.000
3 La 0.000 0.500 0.000
4 La 0.500 0.500 0.000
5 Sm 0.500 0.000 0.500
6 Sm 0.500 0.500 0.500
7 Sm 0.000 0.500 0.500
8 Se 0.253 0.507 0.260
9 Se 0.747 0.493 0.740
10 Se 0.749 0.498 0.255
11 Se 0.251 0.502 0.745
12 Se 0.749 0.006 0.255
13 Se 0.251 0.994 0.745
14 Se 0.257 0.006 0.255
15 Se 0.743 0.994 0.745

# 4
Entry from Alexandria: an optimized crystal structure of Zn2ReP (PBE-GGA).

Properties
Space-group type: C2/m, No. 12
Calculated formation energy, eV per atom: 0.169
E, eV/atom: -4.932
Magnetization, μB per cell: 0.0
Crystal system: monoclinic

Unit cell a=6.724 b=6.724 c=3.866 alpha=73.46 beta=73.46 gamma=23.34
Fractional positions:
1 Zn 0.306 0.306 0.695
2 Zn 0.694 0.694 0.305
3 Re 0.000 0.000 0.500
4 P 0.500 0.500 0.000

# 5
Entry from Alexandria: an optimized crystal structure of Tb3Fe5N12 (PBE-GGA).

Properties
Space-group type: Ia-3d, No. 230
E, eV/atom: -8.017
ΔE_f (raw), kJ/mol of formula units: -407
Magnetization, μB per cell: 14.5
Crystal system: cubic

Unit cell a=10.509 b=10.509 c=10.509 alpha=109.47 beta=109.47 gamma=109.47
Fractional positions:
1 Tb 0.750 0.375 0.125
2 Tb 0.875 0.750 0.125
3 Tb 0.375 0.750 0.625
4 Tb 0.250 0.125 0.375
5 Tb 0.875 0.125 0.250
6 Tb 0.375 0.625 0.250
7 Tb 0.625 0.375 0.750
8 Tb 0.125 0.875 0.750
9 Tb 0.750 0.875 0.625
10 Tb 0.625 0.250 0.375
11 Tb 0.125 0.250 0.875
12 Tb 0.250 0.625 0.875
13 Fe 0.125 0.375 0.250
14 Fe 0.000 0.500 0.000
15 Fe 0.000 0.000 0.000
16 Fe 0.375 0.250 0.125
17 Fe 0.500 0.000 0.500
18 Fe 0.500 0.500 0.000
19 Fe 0.125 0.750 0.375
20 Fe 0.750 0.125 0.875
21 Fe 0.750 0.625 0.375
22 Fe 0.375 0.125 0.750
23 Fe 0.625 0.875 0.250
24 Fe 0.500 0.500 0.500
25 Fe 0.500 0.000 0.000
26 Fe 0.000 0.000 0.500
27 Fe 0.250 0.375 0.625
28 Fe 0.250 0.875 0.125
29 Fe 0.000 0.500 0.500
30 Fe 0.875 0.250 0.625
31 Fe 0.625 0.750 0.875
32 Fe 0.875 0.625 0.750
33 N 0.698 0.111 0.011
34 N 0.313 0.511 0.400
35 N 0.989 0.389 0.302
36 N 0.511 0.198 0.111
37 N 0.587 0.698 0.687
38 N 0.989 0.600 0.187
39 N 0.313 0.802 0.413
40 N 0.100 0.913 0.111
41 N 0.600 0.989 0.687
42 N 0.698 0.587 0.187
43 N 0.802 0.489 0.389
44 N 0.813 0.900 0.011
45 N 0.111 0.698 0.511
46 N 0.389 0.400 0.087
47 N 0.087 0.900 0.389
48 N 0.413 0.111 0.600
49 N 0.087 0.187 0.198
50 N 0.489 0.687 0.100
51 N 0.813 0.913 0.302
52 N 0.111 0.413 0.100
53 N 0.389 0.989 0.802
54 N 0.600 0.611 0.413
55 N 0.900 0.813 0.511
56 N 0.802 0.313 0.913
57 N 0.400 0.389 0.587
58 N 0.100 0.187 0.489
59 N 0.198 0.687 0.087
60 N 0.187 0.087 0.698
61 N 0.611 0.011 0.198
62 N 0.889 0.587 0.900
63 N 0.511 0.313 0.900
64 N 0.587 0.889 0.400
65 N 0.913 0.813 0.802
66 N 0.913 0.100 0.611
67 N 0.889 0.302 0.489
68 N 0.187 0.100 0.989
69 N 0.611 0.600 0.913
70 N 0.400 0.011 0.313
71 N 0.302 0.413 0.813
72 N 0.198 0.511 0.611
73 N 0.900 0.087 0.889
74 N 0.687 0.198 0.587
75 N 0.489 0.802 0.889
76 N 0.011 0.400 0.813
77 N 0.413 0.302 0.313
78 N 0.011 0.611 0.698
79 N 0.687 0.489 0.600
80 N 0.302 0.889 0.989

# 6
Entry from Alexandria: an optimized crystal structure of Pr2GaCu (PBE-GGA).

Properties
Space-group type: P4/mmm, No. 123
Calculated formation energy, eV per atom: -0.325
E, eV/atom: -4.495
Magnetization, μB per cell: 0.0
Crystal system: tetragonal

Unit cell a=3.631 b=3.631 c=7.542 alpha=90.00 beta=90.00 gamma=90.00
Fractional positions:
1 Pr 0.000 0.000 0.756
2 Pr 0.000 0.000 0.244
3 Cu 0.500 0.500 0.000
4 Ga 0.500 0.500 0.500

# 7
Entry from Alexandria: an optimized crystal structure of Pu5Tl2Sn (PBE-GGA).

Properties
Space-group type: C2/m, No. 12
Calculated formation energy, eV per atom: -0.014
E, eV/atom: -10.064
Magnetization, μB per cell: 18.6
Crystal system: monoclinic

Unit cell a=6.564 b=6.564 c=6.633 alpha=106.20 beta=106.20 gamma=116.65
Fractional positions:
1 Pu 0.278 0.278 0.500
2 Pu 0.278 0.778 0.000
3 Pu 0.778 0.278 0.000
4 Pu 0.778 0.778 0.500
5 Pu 0.278 0.278 0.000
6 Tl 0.278 0.778 0.500
7 Tl 0.778 0.278 0.500
8 Sn 0.778 0.778 0.000

# 8
Entry from Alexandria: an optimized crystal structure of CdInSN2 (PBE-GGA).

Properties
Space-group type: P4/mmm, No. 123
E, eV/atom: -3.651
ΔE_f (raw), kJ/mol of formula units: 596
Magnetization, μB per cell: 3.2
Relative energy among the computed polymorphs, meV per atom: 0
Crystal system: tetragonal

Unit cell a=4.230 b=4.230 c=5.496 alpha=90.00 beta=90.00 gamma=90.00
Fractional positions:
1 N 0.000 0.500 0.000
2 N 0.500 0.000 0.000
3 S 0.000 0.000 0.500
4 Cd 0.500 0.500 0.500
5 In 0.000 0.000 0.000

# 9
Entry from Alexandria: an optimized crystal structure of LiFe2Pd8 (PBE-GGA).

Properties
Space-group type: Cm, No. 8
Calculated formation energy, eV per atom: -0.078
E, eV/atom: -5.567
Magnetization, μB per cell: 8.6
Relative energy among the computed polymorphs, meV per atom: 74
Crystal system: monoclinic

Unit cell a=2.770 b=7.352 c=8.858 alpha=73.03 beta=81.00 gamma=90.03
Fractional positions:
1 Li 0.955 0.917 0.058
2 Fe 0.316 0.305 0.335
3 Fe 0.693 0.715 0.586
4 Pd 0.928 0.540 0.112
5 Pd 0.182 0.017 0.606
6 Pd 0.313 0.664 0.344
7 Pd 0.453 0.227 0.062
8 Pd 0.699 0.361 0.570
9 Pd 0.820 0.006 0.328
10 Pd 0.081 0.468 0.807
11 Pd 0.555 0.782 0.859

# 10
Entry from Alexandria: an optimized crystal structure of Tb4As2AuS (PBE-GGA).

Properties
Space-group type: P2/m, No. 10
E, eV/atom: -5.841
ΔE_f (raw), kJ/mol of formula units: -1110
Magnetization, μB per cell: 0.0
Crystal system: monoclinic

Unit cell a=4.092 b=7.012 c=7.233 alpha=70.90 beta=90.00 gamma=90.00
Fractional positions:
1 Tb 0.000 0.755 0.739
2 Tb 0.000 0.245 0.261
3 Tb 0.500 0.753 0.257
4 Tb 0.500 0.247 0.743
5 As 0.000 0.000 0.000
6 As 0.500 0.000 0.500
7 Au 0.500 0.500 0.000
8 S 0.000 0.500 0.500